# 1
Pm3Co5Te12: relaxed, PBE.

POSCAR file:
```
Pm3Co5Te12
1.0
-8.209 8.209 8.209
8.209 -8.209 8.209
8.209 8.209 -8.209
Pm Co Te
12 20 48
Cartesian
4.104 2.052 0.000
8.209 4.104 -2.052
2.052 0.000 4.104
10.261 0.000 4.104
0.000 4.104 2.052
4.104 -2.052 8.209
4.104 10.261 0.000
8.209 4.104 6.156
-2.052 8.209 4.104
6.156 8.209 4.104
0.000 4.104 10.261
4.104 6.156 8.209
0.000 0.000 0.000
4.104 4.104 -4.104
4.104 -4.104 4.104
8.209 0.000 0.000
12.313 2.052 0.000
8.209 -4.104 6.156
6.156 8.209 -4.104
6.156 0.000 4.104
4.104 6.156 0.000
8.209 4.104 2.052
-4.104 4.104 4.104
0.000 8.209 0.000
0.000 0.000 8.209
4.104 4.104 4.104
0.000 4.104 6.156
4.104 2.052 8.209
2.052 8.209 4.104
2.052 0.000 12.313
0.000 12.313 2.052
-4.104 6.156 8.209
2.370 -0.540 0.911
9.943 5.016 -4.645
10.578 0.540 0.911
9.943 -3.193 4.645
7.668 -0.911 2.370
12.853 -1.735 3.193
0.911 2.370 -0.540
11.402 3.564 -1.735
5.016 4.645 -1.735
7.297 2.370 0.540
-0.540 0.911 2.370
4.645 -1.735 5.016
7.668 7.297 -2.370
4.645 1.735 3.193
5.016 -4.645 9.943
7.297 -2.370 7.668
3.193 4.645 1.735
9.120 5.839 0.540
4.645 9.943 -3.193
7.668 0.911 5.839
2.370 7.668 -0.911
9.943 3.193 3.564
1.735 3.193 4.645
2.370 0.540 7.297
5.839 7.668 0.911
6.474 5.016 3.564
-1.735 5.016 4.645
5.839 0.540 9.120
0.540 7.297 2.370
3.564 -1.735 11.402
-0.911 2.370 7.668
5.016 3.564 6.474
0.911 10.578 0.540
3.193 12.853 -1.735
3.564 6.474 5.016
0.540 0.911 10.578
3.564 9.943 3.193
8.749 7.297 5.839
0.911 5.839 7.668
3.193 3.564 9.943
-3.193 4.645 9.943
7.297 5.839 8.749
-4.645 9.943 5.016
0.540 9.120 5.839
-1.735 11.402 3.564
-2.370 7.668 7.297
-1.735 3.193 12.853
5.839 8.749 7.297
```

Raw total energy, eV/f.u.: -96.157
Formation energy (no corrections), eV per formula unit: -8.68

=====

# 2
Pm4CoTe3: relaxed, PBE.

POSCAR file:
```
Pm4CoTe3
1.0
6.261 0.000 0.000
0.000 10.067 0.000
0.000 0.000 9.122
Pm Co Te
8 2 6
Cartesian
1.565 0.423 1.750
1.565 2.517 5.620
1.565 4.610 1.750
1.565 7.550 5.974
4.696 2.517 3.147
4.696 5.457 7.372
4.696 7.550 3.502
4.696 9.643 7.372
1.565 2.517 3.149
4.696 7.550 5.973
1.565 0.097 7.692
1.565 4.936 7.692
1.565 7.550 2.879
4.696 2.517 6.243
4.696 5.131 1.429
4.696 9.969 1.429
```

Raw total energy, eV/f.u.: -42.050
Formation energy (no corrections), eV per formula unit: -6.52
Energy relative to the lowest polymorph listed for this composition, meV/atom: 243